Entry 1:
VASP calculation (PBE) on a relaxed structure of PrCuClO2.

Summary:
energy relative to the elements, uncorrected: -1920.3 meV per atom
total moment: 0.00 Bohr magnetons per cell
V: 15.25 Å³/atom

Cell: 3.8415 6.0924 6.8658 Å, 90.00 90.00 108.38°
Element x y z (fractional)
O: 0.1599 0.3199 0.5423
O: 0.8401 0.6801 0.0423
O: 0.8401 0.6801 0.4577
O: 0.1599 0.3199 0.9577
Pr: 0.7222 0.4443 0.7500
Pr: 0.2778 0.5557 0.2500
Cl: 0.5364 0.0728 0.2500
Cl: 0.4636 0.9272 0.7500
Cu: 0.0000 0.0000 0.0000
Cu: 0.0000 0.0000 0.5000


Entry 2:
VASP calculation (PBE) on a relaxed structure of CuPt2ClO.

Summary:
energy relative to the elements, uncorrected: 1385.0 meV per atom
total moment: 2.06 Bohr magnetons per cell
V: 19.41 Å³/atom

Cell: 4.7526 4.2974 4.7526 Å, 90.00 90.00 90.00°
Site moments in Bohr magnetons follow the coordinates.
Element x y z (fractional)
O: 0.5000 0.5000 0.5000  1.11
Pt: 0.5000 0.0000 0.0000  0.35
Pt: 0.0000 0.0000 0.5000  0.43
Cu: 0.0000 0.0000 0.0000  0.04
Cl: 0.0000 0.5000 0.0000  -0.01


Entry 3:
VASP calculation (PBE) on a relaxed structure of Rb2CuCl4O2.

Summary:
energy relative to the elements, uncorrected: -655.9 meV per atom
total moment: 6.04 Bohr magnetons per cell
V: 26.30 Å³/atom

Cell: 7.0242 7.0242 9.5959 Å, 90.00 90.00 90.00°
Site moments in Bohr magnetons follow the coordinates.
Element x y z (fractional)
Rb: 0.5000 0.0000 0.2500  0.00
Rb: 0.0000 0.5000 0.7500  0.00
Rb: 0.5000 0.0000 0.7500  0.00
Rb: 0.0000 0.5000 0.2500  0.00
Cl: 0.7625 0.7625 0.5000  0.24
Cl: 0.2700 0.7300 0.5000  0.09
Cl: 0.2300 0.2300 0.0000  0.09
Cl: 0.2625 0.7375 0.0000  0.24
Cl: 0.2375 0.2375 0.5000  0.24
Cl: 0.7700 0.7700 0.0000  0.09
Cl: 0.7300 0.2700 0.5000  0.09
Cl: 0.7375 0.2625 0.0000  0.24
O: 0.5000 0.5000 0.6823  0.77
O: 0.5000 0.5000 0.3177  0.77
O: 0.0000 0.0000 0.1823  0.77
O: 0.0000 0.0000 0.8177  0.77
Cu: 0.0000 0.0000 0.0000  0.33
Cu: 0.5000 0.5000 0.5000  0.33


Copy entry 3 word for word.
VASP calculation (PBE) on a relaxed structure of Rb2CuCl4O2.

Summary:
energy relative to the elements, uncorrected: -655.9 meV per atom
total moment: 6.04 Bohr magnetons per cell
V: 26.30 Å³/atom

Cell: 7.0242 7.0242 9.5959 Å, 90.00 90.00 90.00°
Site moments in Bohr magnetons follow the coordinates.
Element x y z (fractional)
Rb: 0.5000 0.0000 0.2500  0.00
Rb: 0.0000 0.5000 0.7500  0.00
Rb: 0.5000 0.0000 0.7500  0.00
Rb: 0.0000 0.5000 0.2500  0.00
Cl: 0.7625 0.7625 0.5000  0.24
Cl: 0.2700 0.7300 0.5000  0.09
Cl: 0.2300 0.2300 0.0000  0.09
Cl: 0.2625 0.7375 0.0000  0.24
Cl: 0.2375 0.2375 0.5000  0.24
Cl: 0.7700 0.7700 0.0000  0.09
Cl: 0.7300 0.2700 0.5000  0.09
Cl: 0.7375 0.2625 0.0000  0.24
O: 0.5000 0.5000 0.6823  0.77
O: 0.5000 0.5000 0.3177  0.77
O: 0.0000 0.0000 0.1823  0.77
O: 0.0000 0.0000 0.8177  0.77
Cu: 0.0000 0.0000 0.0000  0.33
Cu: 0.5000 0.5000 0.5000  0.33


The lowest total moment belongs to which entry? PrCuClO2


What is the V in the third record? 26.30 Å³/atom


Which formula does entry 1 have? PrCuClO2